1.
# Er6Si2PbS3

Er6Si2PbS3 after structural relaxation (PBE-GGA, the Alexandria database).

Cell: 17.705 4.010 8.188 Å, 90.00 104.13 90.00°
Space group C2/m (No. 12)
Symmetry-distinct sites (fractional):
Er (0.000, 0.000, 0.228) x4
Er (0.170, 0.500, 0.079) x4
Er (0.174, 0.500, 0.593) x4
Si (0.165, 0.000, 0.831) x4
Pb (0.000, 0.500, 0.500) x2
S (0.000, 0.500, 0.000) x2
S (0.166, 0.000, 0.330) x4

E_form (uncorrected) in eV per atom: -1.27

***

2.
# SmEr4PbS8

SmEr4PbS8 after structural relaxation (PBE-GGA, the Alexandria database).

Cell: 8.0748 8.0748 20.1684 Å, 90.00 90.00 120.00°
Space group R3m (No. 160, hexagonal axes)
Symmetry-distinct sites (fractional):
Sm (0.0000, 0.0000, 0.0000) x3
Er (0.0000, 0.0000, 0.6237) x3
Er (0.1690, 0.3379, 0.8305) x9
Pb (0.0000, 0.0000, 0.3710) x3
S (0.0000, 0.0000, 0.2322) x3
S (0.0000, 0.0000, 0.7557) x3
S (0.0315, 0.5158, 0.7554) x9
S (0.1745, 0.3491, 0.5765) x9

E_form (uncorrected) in eV per atom: -1.76